# Tb9Y4Hg11

Tb9Y4Hg11 after structural relaxation (GGA-PBE, the Alexandria database).

- E: -3.33 eV per atom

Cell lengths 13.7859, 13.7859, 3.5548 Å; angles 90.00, 90.00, 109.85 degrees
With the nearest neighbours (Å) after each atom.
Fractional coordinates of all 24 atoms:
Tb 0.0000 0.0000 0.0000  4 Y 3.22, 4 Hg 3.41, 2 Tb 3.55
Tb 0.1213 0.6488 0.0000  8 Hg 3.20-3.51, 1 Y 3.47, 2 Tb 3.55
Tb 0.2959 0.4761 0.0000  8 Hg 3.21-3.28, 1 Y 3.55, 2 Tb 3.55
Tb 0.3512 0.8787 0.0000  8 Hg 3.20-3.51, 1 Y 3.47, 2 Tb 3.55
Tb 0.4761 0.2959 0.0000  8 Hg 3.21-3.28, 1 Y 3.55, 2 Tb 3.55
Tb 0.5239 0.7041 0.0000  8 Hg 3.21-3.28, 1 Y 3.55, 2 Tb 3.55
Tb 0.6488 0.1213 0.0000  8 Hg 3.20-3.51, 1 Y 3.47, 2 Tb 3.55
Tb 0.7041 0.5239 0.0000  8 Hg 3.21-3.28, 1 Y 3.55, 2 Tb 3.55
Tb 0.8787 0.3512 0.0000  8 Hg 3.20-3.51, 1 Y 3.47, 2 Tb 3.55
Y 0.0761 0.2480 0.0000  6 Hg 3.19-3.27, 3 Tb 3.22-3.55, 2 Y 3.55
Y 0.2480 0.0761 0.0000  6 Hg 3.19-3.27, 3 Tb 3.22-3.55, 2 Y 3.55
Y 0.7520 0.9239 0.0000  6 Hg 3.19-3.27, 3 Tb 3.22-3.55, 2 Y 3.55
Y 0.9239 0.7520 0.0000  6 Hg 3.19-3.27, 3 Tb 3.22-3.55, 2 Y 3.55
Hg 0.0875 0.4453 0.5000  2 Y 3.21, 6 Tb 3.22-3.28, 3 Hg 3.25-3.55
Hg 0.1292 0.8708 0.5000  4 Y 3.27, 6 Tb 3.41-3.51, 2 Hg 3.55
Hg 0.2755 0.2755 0.5000  4 Y 3.19, 4 Tb 3.22, 3 Hg 3.55-3.56
Hg 0.3226 0.6774 0.5000  8 Tb 3.20-3.21, 2 Hg 3.55
Hg 0.4453 0.0875 0.5000  2 Y 3.21, 6 Tb 3.22-3.28, 3 Hg 3.25-3.55
Hg 0.5000 0.5000 0.5000  8 Tb 3.25, 4 Hg 3.55-3.56
Hg 0.5547 0.9125 0.5000  2 Y 3.21, 6 Tb 3.22-3.28, 3 Hg 3.25-3.55
Hg 0.6774 0.3226 0.5000  8 Tb 3.20-3.21, 2 Hg 3.55
Hg 0.7245 0.7245 0.5000  4 Y 3.19, 4 Tb 3.22, 3 Hg 3.55-3.56
Hg 0.8708 0.1292 0.5000  4 Y 3.27, 6 Tb 3.41-3.51, 2 Hg 3.55
Hg 0.9125 0.5547 0.5000  2 Y 3.21, 6 Tb 3.22-3.28, 3 Hg 3.25-3.55